First-principles (PBE-GGA) data for a relaxed structure of CsZrSc2Ni, as listed in the Alexandria database.

Space group = No. 123
Energy = -3.635 eV/atom

Cell: 5.1347 5.1347 5.2866 Å, 90.00 90.00 90.00°
Atoms (fractional coordinates):
1 Cs 0.0000 0.0000 0.0000
2 Zr 0.0000 0.0000 0.5000
3 Sc 0.0000 0.5000 0.0000
4 Sc 0.5000 0.0000 0.0000
5 Ni 0.5000 0.5000 0.5000

First-principles (PBE-GGA) data for a relaxed structure of CsZrScNi2, as listed in the Alexandria database.

Space group = No. 123
Energy = -4.487 eV/atom

Cell: 4.9971 4.9971 5.3824 Å, 90.00 90.00 90.00°
Atoms (fractional coordinates):
1 Cs 0.0000 0.0000 0.0000
2 Zr 0.5000 0.5000 0.5000
3 Sc 0.5000 0.5000 0.0000
4 Ni 0.0000 0.5000 0.5000
5 Ni 0.5000 0.0000 0.5000

First-principles (PBE-GGA) data for a relaxed structure of Cs2NiSe2, as listed in the Alexandria database.

Raw formation energy = -0.74 eV/atom
Space group = No. 72
Energy = -3.633 eV/atom

Cell: 8.7735 8.7735 8.7735 Å, 129.12 69.55 135.93°
Atoms (fractional coordinates):
1 Cs 0.1458 0.1734 0.3192
2 Cs 0.3542 0.6734 0.0276
3 Cs 0.6458 0.3266 0.9724
4 Cs 0.8542 0.8266 0.6808
5 Ni 0.2500 0.7500 0.5000
6 Ni 0.7500 0.2500 0.5000
7 Se 0.0909 0.6610 0.7519
8 Se 0.4091 0.1610 0.5700
9 Se 0.5909 0.8390 0.4300
10 Se 0.9091 0.3390 0.2481

First-principles (PBE-GGA) data for a relaxed structure of CsNi2Se, as listed in the Alexandria database.

Raw formation energy = -0.12 eV/atom
Space group = No. 122
Energy = -4.097 eV/atom

Cell: 8.2812 8.2812 8.2812 Å, 142.70 142.70 53.77°
Atoms (fractional coordinates):
1 Cs 0.0000 0.0000 0.0000
2 Cs 0.7500 0.2500 0.5000
3 Ni 0.3679 0.1250 0.7429
4 Ni 0.3750 0.6321 0.7571
5 Ni 0.3821 0.6250 0.2571
6 Ni 0.8750 0.6179 0.2429
7 Se 0.2500 0.7500 0.5000
8 Se 0.5000 0.5000 0.0000

First-principles (PBE-GGA) data for a relaxed structure of CsNiSe2, as listed in the Alexandria database.

Raw formation energy = -0.58 eV/atom
Space group = No. 53
Energy = -3.976 eV/atom

Cell: 7.1542 9.6745 6.5672 Å, 90.00 90.00 90.00°
Atoms (fractional coordinates):
1 Cs 0.2500 0.1672 0.2500
2 Cs 0.2500 0.8328 0.7500
3 Cs 0.7500 0.1672 0.2500
4 Cs 0.7500 0.8328 0.7500
5 Ni 0.2500 0.3386 0.7500
6 Ni 0.2500 0.6614 0.2500
7 Ni 0.7500 0.3386 0.7500
8 Ni 0.7500 0.6614 0.2500
9 Se 0.0000 0.1794 0.7405
10 Se 0.0000 0.4915 0.6997
11 Se 0.0000 0.5085 0.3003
12 Se 0.0000 0.8206 0.2595
13 Se 0.5000 0.1794 0.7595
14 Se 0.5000 0.4915 0.8003
15 Se 0.5000 0.5085 0.1997
16 Se 0.5000 0.8206 0.2405

First-principles (PBE-GGA) data for a relaxed structure of Cs2Ni3Se4, as listed in the Alexandria database.

Raw formation energy = -0.66 eV/atom
Space group = No. 70
Energy = -4.323 eV/atom

Cell: 16.1788 15.5626 6.2151 Å, 84.34 73.18 22.47°
Atoms (fractional coordinates):
1 Cs 0.0478 0.0478 0.2022
2 Cs 0.2022 0.2022 0.0478
3 Cs 0.7978 0.7978 0.9522
4 Cs 0.9522 0.9522 0.7978
5 Ni 0.1252 0.1252 0.6248
6 Ni 0.3750 0.3750 0.3750
7 Ni 0.3752 0.3752 0.8748
8 Ni 0.6248 0.6248 0.1252
9 Ni 0.6250 0.6250 0.6250
10 Ni 0.8748 0.8748 0.3752
11 Se 0.1607 0.4899 0.2566
12 Se 0.2566 0.5928 0.1607
13 Se 0.4072 0.7434 0.5101
14 Se 0.4899 0.1607 0.5928
15 Se 0.5101 0.8393 0.4072
16 Se 0.5928 0.2566 0.4899
17 Se 0.7434 0.4072 0.8393
18 Se 0.8393 0.5101 0.7434